1.
Crystalline NaPm2H12Rh3 at its relaxed geometry. Source: the Alexandria database, functional PBE-GGA.

Properties
* VASP energy: -4.35 eV/atom
* total moment: 1.21 μB/cell
* symmetry: R-3m, No. 166

Cell lengths 6.071, 6.071, 6.071 Å; angles 62.88, 62.88, 62.88 degrees
Positions (direct):
H1 0.869 0.869 0.419
H2 0.300 0.300 0.856
H3 0.300 0.856 0.300
H4 0.869 0.419 0.869
H5 0.419 0.869 0.869
H6 0.856 0.300 0.300
H7 0.131 0.131 0.581
H8 0.131 0.581 0.131
H9 0.144 0.700 0.700
H10 0.700 0.700 0.144
H11 0.700 0.144 0.700
H12 0.581 0.131 0.131
Rh1 0.000 0.000 0.500
Rh2 0.500 0.000 0.000
Rh3 0.000 0.500 0.000
Pm1 0.385 0.385 0.385
Pm2 0.615 0.615 0.615
Na1 0.000 0.000 0.000

=====

2.
Crystalline CaMnBe2 at its relaxed geometry. Source: the Alexandria database, functional PBE-GGA.

Properties
* total moment: 3.01 μB/cell
* symmetry: P4mm, No. 99
* formation energy from the elements: 0.428 eV/atom

Cell lengths 2.878, 2.878, 7.167 Å; angles 90.00, 90.00, 90.00 degrees
Positions (direct):
Mn1 0.500 0.500 0.832
Be1 0.000 0.000 0.021
Be2 0.500 0.500 0.165
Ca1 0.000 0.000 0.482

=====

3.
Crystalline LiPt2Cl at its relaxed geometry. Source: the Alexandria database, functional PBE-GGA.

Properties
* raw formation energy: -187 meV/atom
* total moment: 0.00 μB/cell
* symmetry: I-42d, No. 122

Cell lengths 3.568, 3.568, 13.798 Å; angles 82.57, 82.57, 90.00 degrees
Positions (direct):
Li1 0.250 0.750 0.500
Li2 0.500 0.500 0.000
Cl1 0.750 0.250 0.500
Cl2 0.000 0.000 0.000
Pt1 0.375 0.375 0.750
Pt2 0.125 0.625 0.250
Pt3 0.875 0.875 0.750
Pt4 0.625 0.125 0.250

=====

4.
Crystalline Na3ReTe at its relaxed geometry. Source: the Alexandria database, functional PBE-GGA.

Properties
* raw formation energy: 910 meV/atom
* total moment: 4.06 μB/cell
* symmetry: Pm-3m, No. 221

Cell lengths 5.809, 5.809, 5.809 Å; angles 90.00, 90.00, 90.00 degrees
Positions (direct):
Re1 0.500 0.500 0.500
Na1 0.500 0.000 0.000
Na2 0.000 0.000 0.500
Na3 0.000 0.500 0.000
Te1 0.000 0.000 0.000

=====

5.
Crystalline HfGaO4 at its relaxed geometry. Source: the Alexandria database, functional PBE-GGA.

Properties
* raw formation energy: -2097 meV/atom
* total moment: 1.02 μB/cell
* symmetry: P2/m, No. 10

Cell lengths 3.191, 4.746, 5.438 Å; angles 86.01, 90.00, 90.00 degrees
Positions (direct):
O1 0.000 0.793 0.679
O2 0.500 0.198 0.843
O3 0.000 0.207 0.321
O4 0.500 0.802 0.157
Ga1 0.000 0.000 0.000
Hf1 0.500 0.000 0.500

=====

6.
Crystalline PS2NCl at its relaxed geometry. Source: the Alexandria database, functional PBE-GGA.

Properties
* raw formation energy: 1378 meV/atom
* total moment: 0.00 μB/cell
* symmetry: P4/mmm, No. 123

Cell lengths 4.278, 4.278, 4.100 Å; angles 90.00, 90.00, 90.00 degrees
Positions (direct):
Cl1 0.000 0.000 0.500
N1 0.000 0.000 0.000
S1 0.000 0.500 0.000
S2 0.500 0.000 0.000
P1 0.500 0.500 0.500